# 1
VASP calculation (PBE) on a relaxed structure of Er2Si2Pd3.

```
7
Lattice="-3.685 1.116 -0.307 0.316 -5.114 1.914 1.046 4.820 4.954" Properties=species:S:1:pos:R:3 pbc="T T T"
Si -2.084 1.164 4.943
Si -0.238 -0.342 1.618
Er 0.401 2.505 4.284
Er -2.723 -1.683 2.277
Pd -1.772 1.510 2.457
Pd -1.842 0.558 -0.154
Pd -0.551 -0.689 4.104
```

***

# 2
VASP calculation (PBE) on a relaxed structure of ErSi4Pd6.

```
11
Lattice="-3.712 4.718 -2.062 -2.445 -3.693 4.547 5.228 1.735 3.155" Properties=species:S:1:pos:R:3 pbc="T T T"
Pd 0.634 -2.047 5.099
Pd 0.329 0.391 3.338
Pd -2.011 2.899 0.218
Pd -3.078 0.512 1.243
Pd 0.758 3.227 0.547
Pd 2.902 -0.442 4.688
Si 2.587 0.437 2.443
Si -0.949 1.895 2.161
Si -0.612 -1.827 3.023
Si 0.828 0.296 5.715
Er 0.000 0.000 0.000
```

***

# 3
VASP calculation (PBE) on a relaxed structure of Er2SiPd8.

```
11
Lattice="-4.404 0.188 -1.382 -1.555 -3.415 4.494 1.983 7.262 2.389" Properties=species:S:1:pos:R:3 pbc="T T T"
Pd -2.857 0.686 1.476
Pd -0.368 2.085 1.455
Pd -0.375 -0.824 1.084
Pd -1.120 3.349 4.025
Pd -3.601 4.859 4.417
Pd -3.619 -0.989 3.678
Pd -0.358 5.024 1.823
Pd -3.609 1.950 4.046
Er -1.152 0.417 3.729
Er -2.825 3.618 1.772
Si -2.202 0.094 -0.691
```

***

# 4
VASP calculation (PBE) on a relaxed structure of ErSi3Pd2.

```
12
Lattice="-3.647 -2.745 3.923 -2.882 -2.324 -4.305 4.397 -4.052 -0.757" Properties=species:S:1:pos:R:3 pbc="T T T"
Si -0.001 -7.090 1.955
Si -2.131 -2.031 -3.094
Si -2.978 -3.699 -1.627
Si 0.846 -5.422 0.488
Si -1.258 -5.084 1.714
Si -0.874 -4.037 -2.852
Pd 2.634 -3.763 0.267
Pd -3.325 -4.197 0.746
Pd 1.193 -4.924 -1.885
Pd -4.766 -5.358 -1.406
Er -0.473 -2.832 -0.028
Er -1.660 -6.290 -1.111
```

***

# 5
VASP calculation (PBE) on a relaxed structure of Er2Si7Pd12.

```
21
Lattice="-1.954 2.829 1.650 -8.596 -4.160 -3.048 3.899 -2.494 8.892" Properties=species:S:1:pos:R:3 pbc="T T T"
Si -3.537 -1.285 0.217
Si -4.282 -3.722 3.511
Si -3.114 -2.541 7.277
Si 0.288 -0.139 7.189
Si -0.977 1.414 0.825
Si -6.939 -3.686 0.304
Si -2.369 -0.104 3.982
Pd -3.535 -4.506 5.741
Pd -3.823 -1.734 5.064
Pd -6.208 -3.423 5.124
Pd 1.714 -2.117 7.863
Pd -1.084 -1.786 8.396
Pd -2.828 -2.092 2.429
Pd -3.116 0.681 1.753
Pd -5.567 -2.040 -0.902
Pd -8.365 -1.708 -0.369
Pd -0.294 0.745 4.994
Pd -6.357 -4.571 2.500
Pd -0.443 -0.403 2.369
Er -0.747 -2.353 5.318
Er -5.904 -1.473 2.176
```

***

# 6
VASP calculation (PBE) on a relaxed structure of ErSiPd2.

```
4
Lattice="-3.667 -0.336 -1.606 -1.178 -1.488 3.001 -1.295 4.919 1.929" Properties=species:S:1:pos:R:3 pbc="T T T"
Er -2.422 -0.912 0.698
Si -2.481 2.292 0.162
Pd -0.324 1.230 0.483
Pd -2.149 2.201 4.447
```

***

# 7
VASP calculation (PBE) on a relaxed structure of ErSiPd4.

```
12
Lattice="-1.195 -3.514 -0.947 1.044 -2.097 6.465 -7.243 1.975 1.811" Properties=species:S:1:pos:R:3 pbc="T T T"
Si -0.984 -1.167 5.572
Si -5.215 1.045 2.703
Pd -2.349 -1.382 0.345
Pd 0.000 0.000 0.000
Pd -4.353 -1.290 2.535
Pd -0.330 -3.084 4.116
Pd -5.045 -2.254 6.984
Pd -7.064 -0.551 3.213
Pd -3.622 0.988 0.905
Pd -3.041 -2.345 4.793
Er -4.770 0.151 5.459
Er -1.429 -0.273 2.817
```

***

# 8
VASP calculation (PBE) on a relaxed structure of Er2Si6Pd21.

```
29
Lattice="-3.145 8.016 0.797 -6.884 1.464 5.024 0.921 4.285 7.455" Properties=species:S:1:pos:R:3 pbc="T T T"
Pd -5.597 3.720 3.568
Pd -1.745 6.731 3.089
Pd -1.083 2.760 0.274
Pd -2.062 5.256 0.522
Pd -6.048 6.489 4.706
Pd 0.000 0.000 0.000
Pd 0.317 1.475 2.567
Pd -5.618 8.490 8.188
Pd -0.479 5.570 5.162
Pd -2.371 0.504 1.730
Pd -1.767 3.314 6.618
Pd -4.432 5.760 2.252
Pd -3.060 7.277 8.570
Pd -6.706 5.959 7.434
Pd -2.402 7.806 5.841
Pd 0.604 2.809 4.888
Pd -4.959 9.020 5.459
Pd -3.490 5.275 5.087
Pd -4.197 2.436 5.861
Pd -4.514 0.960 3.294
Pd -4.149 4.746 7.816
Er -2.277 3.441 3.319
Er -6.831 10.324 9.957
Si -3.893 7.414 3.900
Si -5.215 6.351 9.376
Si -7.120 8.100 6.255
Si -5.646 4.343 5.881
Si -1.988 5.665 7.021
Si -3.462 9.422 7.394
```

***

# 9
VASP calculation (PBE) on a relaxed structure of ErSi3Pd10.

```
28
Lattice="-6.033 -2.548 -5.647 -4.078 -7.541 1.137 -8.329 -0.104 2.324" Properties=species:S:1:pos:R:3 pbc="T T T"
Er -4.610 -2.548 -0.546
Er -13.830 -7.645 -1.639
Pd -11.372 -6.286 -1.348
Pd -6.866 -2.663 1.916
Pd -5.540 -4.982 1.546
Pd -6.823 -1.707 -2.904
Pd -2.866 -0.036 0.800
Pd -5.463 -0.068 1.524
Pd -8.555 -5.096 1.289
Pd -2.674 -4.946 0.746
Pd -4.751 -5.823 -1.197
Pd -9.468 -2.765 -1.879
Pd -8.971 -7.427 -0.307
Pd -3.957 -1.671 -3.704
Pd -1.403 -2.595 0.391
Pd -7.067 -3.907 -0.838
Pd -7.483 -6.237 -2.433
Pd -5.360 -4.266 -3.312
Pd -9.884 -5.096 -3.474
Pd -7.539 -0.945 -0.419
Pd -2.076 -0.877 -1.943
Pd -10.956 -3.955 0.247
Si -8.802 -2.756 0.509
Si -6.810 -6.242 -0.047
Si -10.713 -6.291 1.042
Si -9.637 -7.436 -2.694
Si -11.630 -3.951 -2.138
Si -7.726 -3.902 -3.227
```

***

# 10
VASP calculation (PBE) on a relaxed structure of ErSi2Pd7.

```
10
Lattice="-4.005 1.888 -0.500 -2.940 -6.228 0.031 0.653 3.018 6.156" Properties=species:S:1:pos:R:3 pbc="T T T"
Si -3.858 -2.495 1.629
Si -2.433 1.173 4.058
Pd -1.979 1.514 1.714
Pd -2.071 -3.993 1.512
Pd -2.898 -0.851 0.147
Pd -0.215 0.783 4.675
Pd -3.393 -0.471 5.539
Pd -3.146 -0.661 2.843
Pd -4.312 -2.836 3.973
Er 0.000 0.000 0.000
```

***

# 11
VASP calculation (PBE) on a relaxed structure of Er2Si4Pd5.

```
11
Lattice="-4.141 2.533 2.920 -5.051 -2.305 0.330 -0.090 -2.235 7.305" Properties=species:S:1:pos:R:3 pbc="T T T"
Pd -4.596 0.114 1.625
Pd -5.676 -0.370 6.007
Pd -3.606 -1.637 4.548
Pd -2.525 -1.152 0.165
Pd -2.070 1.266 1.460
Si -6.953 -1.339 7.784
Si -2.329 -0.668 2.771
Si -5.767 -1.041 3.712
Si -3.514 -0.966 6.843
Er -3.579 1.540 4.577
Er -0.652 -1.242 5.647
```

***

# 12
VASP calculation (PBE) on a relaxed structure of Er3Si2Pd6.

```
22
Lattice="-2.847 -3.999 -6.415 7.274 3.052 -1.740 0.631 -5.060 6.264" Properties=species:S:1:pos:R:3 pbc="T T T"
Pd 0.713 -3.226 -2.678
Pd 1.834 -3.568 1.410
Pd 2.773 -2.445 3.684
Pd 1.082 -5.054 -0.720
Pd 3.224 -2.439 -3.301
Pd 3.976 -0.953 -1.170
Pd 0.416 -1.726 -4.908
Pd 5.132 0.436 0.841
Pd 4.011 0.778 -3.247
Pd -1.725 -4.341 -2.327
Pd -0.490 -4.718 2.176
Pd 4.345 -2.781 0.788
Er 5.633 -1.431 3.225
Er 1.272 -0.272 -2.343
Er -0.637 -2.603 -0.043
Er 2.272 -0.577 1.300
Er 3.155 -0.675 -5.811
Er -1.579 -6.456 -0.107
Si 0.316 -2.530 3.132
Si 3.637 1.526 -0.870
Si 2.529 -3.004 -0.945
Si -1.423 -1.999 -3.208
```

***

# 13
VASP calculation (PBE) on a relaxed structure of ErSi2Pd7.

```
10
Lattice="3.962 0.000 -0.762 -0.147 3.959 -0.762 -0.047 -0.049 10.432" Properties=species:S:1:pos:R:3 pbc="T T T"
Pd 0.325 2.393 1.689
Pd 1.389 3.497 7.218
Pd 0.857 2.945 4.454
Pd 2.379 0.413 1.689
Pd 2.911 0.965 4.454
Pd 1.908 1.980 -0.762
Pd 3.443 1.517 7.218
Si 2.560 2.656 2.626
Si 1.209 1.254 6.282
Er 0.000 0.000 0.000
```

***

# 14
VASP calculation (PBE) on a relaxed structure of Er2Si3Pd2.

```
7
Lattice="4.194 0.000 0.000 -2.097 5.110 -0.166 0.000 -2.559 5.838" Properties=species:S:1:pos:R:3 pbc="T T T"
Si 0.000 2.666 3.144
Si 2.097 0.000 0.000
Si 2.097 -0.115 2.528
Er 2.097 3.012 1.180
Er 0.000 -0.461 4.492
Pd 2.097 1.721 4.276
Pd 0.000 0.830 1.396
```

***

# 15
VASP calculation (PBE) on a relaxed structure of ErSi3Pd3.

```
14
Lattice="-1.308 -5.947 -2.465 6.040 -0.265 -2.568 2.226 -2.778 5.521" Properties=species:S:1:pos:R:3 pbc="T T T"
Pd 0.132 -5.849 0.912
Pd 0.856 -3.039 -1.874
Pd 3.576 -0.827 0.096
Pd 4.689 -2.216 2.856
Pd 3.876 -3.172 -3.158
Pd 0.786 -2.876 2.144
Si 5.643 -1.587 0.834
Si 2.623 -1.455 2.118
Si -0.098 -3.668 0.148
Si 2.693 -1.619 -1.900
Si 1.015 -5.057 2.908
Si 2.039 -4.592 -3.132
Er 3.479 -4.494 0.244
Er 0.000 0.000 0.000
```

***

# 16
VASP calculation (PBE) on a relaxed structure of ErSi3Pd3.

```
14
Lattice="-2.303 1.797 -2.704 -5.948 -6.679 0.630 -0.710 7.155 5.358" Properties=species:S:1:pos:R:3 pbc="T T T"
Si -7.675 -2.239 0.656
Si -4.350 -1.227 -1.504
Si -1.286 4.511 2.628
Si -3.197 0.967 1.902
Si -5.764 1.305 1.382
Si -4.611 3.499 4.789
Pd -1.417 2.429 1.356
Pd -7.544 -0.156 1.928
Pd -6.138 -2.828 -1.045
Pd -4.108 0.824 -0.348
Pd -2.823 5.100 4.329
Pd -4.854 1.448 3.632
Er -4.778 -1.619 1.530
Er -4.184 3.891 1.755
```

***

# 17
VASP calculation (PBE) on a relaxed structure of SmErSiPd.

```
4
Lattice="5.014 0.000 0.000 2.507 4.342 0.000 2.507 1.447 4.094" Properties=species:S:1:pos:R:3 pbc="T T T"
Er 0.000 0.000 0.000
Si 2.507 1.447 1.023
Sm 5.014 2.895 2.047
Pd 7.520 4.342 3.070
```

***

# 18
VASP calculation (PBE) on a relaxed structure of SmErSiPd.

```
4
Lattice="-3.057 -2.523 -0.400 0.018 -0.683 4.173 -1.968 5.388 0.890" Properties=species:S:1:pos:R:3 pbc="T T T"
Si -2.075 -0.948 1.996
Sm -4.012 1.338 2.379
Er -0.952 1.124 0.188
Pd -2.993 3.532 0.591
```

***

# 19
VASP calculation (PBE) on a relaxed structure of YErSiPd.

```
4
Lattice="-3.969 -1.403 2.619 -3.496 -2.812 -2.111 -0.525 -4.740 1.359" Properties=species:S:1:pos:R:3 pbc="T T T"
Er -5.993 -6.716 1.400
Si -3.995 -4.478 0.933
Pd 0.000 0.000 0.000
Y -1.998 -2.239 0.467
```

***

# 20
VASP calculation (PBE) on a relaxed structure of YErSiPd.

```
4
Lattice="-1.515 -3.084 -1.912 3.061 0.300 -2.910 3.830 -1.760 3.848" Properties=species:S:1:pos:R:3 pbc="T T T"
Y 2.968 -3.752 -0.345
Er 0.852 -0.915 0.802
Si 1.252 -1.908 -1.959
Pd 2.619 -2.814 2.465
```

***

DOS(E_F) list, top to bottom, in states/eV/f.u.: 3.5, 4.1, 3.7, 2.2, 8.0, 2.6, 0.9, 18.7, 9.4, 4.5, 7.0, 2.7, 3.7, 2.0, 4.5, 3.6, 2.2, 2.4, 1.6, 2.5
Theoretical density list, top to bottom, in kg/m3: 9377, 8023, 10707, 7669, 9048, 8734, 10140, 9942, 9556, 8440, 8451, 9794, 9844, 8503, 6688, 6839, 8425, 8174, 7525, 7271
ΔE_f (raw) list, top to bottom, in eV/atom: -0.934, -0.571, -0.750, -0.572, -0.807, -0.703, -0.779, -0.719, -0.695, -0.457, -0.728, -0.862, -0.770, -0.779, -0.286, -0.538, -0.695, -0.810, -0.742, -0.851